Ba2Na3US6 | PBE-GGA | relaxed

* total energy: -5.2098 eV/atom
* SG: C2/m, No. 12

a = 7.6431 Å, b = 7.6431 Å, c = 7.0823 Å
α = 99.74°, β = 99.74°, γ = 120.95°
Fractional coordinates of all 12 atoms:
Ba 0.1698 0.8302 0.0000
Ba 0.8302 0.1698 0.0000
Na 0.0000 0.0000 0.5000
Na 0.3565 0.6435 0.5000
Na 0.6435 0.3565 0.5000
U 0.5000 0.5000 0.0000
S 0.1416 0.4235 0.7635
S 0.2793 0.2793 0.2209
S 0.4235 0.1416 0.7635
S 0.5765 0.8584 0.2365
S 0.7207 0.7207 0.7791
S 0.8584 0.5765 0.2365